Entry 1:
DFT (PBE-GGA) results for a geometry-optimized AgPd2OF structure.

The uncorrected formation energy comes out at -0.171 eV per atom. The calculation puts the raw total energy at -20.92 eV/f.u. The total magnetization comes out at 0.490 μB/f.u.

It has space group P4/mmm (No. 123), with a = 3.937 Å, b = 3.937 Å, c = 5.141 Å, α = 90.00°, β = 90.00° and γ = 90.00°. The distinct sites, in fractional coordinates, are Ag at (0.000, 0.000, 0.000), Pd at (0.000, 0.500, 0.500), O at (0.500, 0.500, 0.500) and F at (0.500, 0.500, 0.000).

***

Entry 2:
DFT (PBE-GGA) results for a geometry-optimized NaGaPF2 structure.

The uncorrected formation energy comes out at -0.802 eV per atom. The calculation puts the raw total energy at -17.51 eV/f.u. The total magnetization comes out at 0.000 μB/f.u.

It has space group P4/mmm (No. 123), with a = 4.224 Å, b = 4.224 Å, c = 5.030 Å, α = 90.00°, β = 90.00° and γ = 90.00°. The distinct sites, in fractional coordinates, are Na at (0.000, 0.000, 0.000), Ga at (0.500, 0.500, 0.000), P at (0.500, 0.500, 0.500) and F at (0.000, 0.500, 0.500).

***

Entry 3:
DFT (PBE-GGA) results for a geometry-optimized Tm2Zr5Sc12 structure.

Its formation energy is 0.142 eV/atom. The calculation puts the raw total energy at -124.97 eV/f.u. The total magnetization comes out at 0.000 μB/f.u.

It has space group C2/m (No. 12), with a = 14.491 Å, b = 8.322 Å, c = 7.858 Å, α = 90.00°, β = 91.49° and γ = 90.00°. The distinct sites, in fractional coordinates, are Tm at (0.000, 0.221, 0.000), Zr at (0.000, 0.000, 0.500), Zr at (0.148, 0.500, 0.943), Zr at (0.233, 0.000, 0.538), Sc at (0.058, 0.500, 0.275), Sc at (0.109, 0.299, 0.607), Sc at (0.165, 0.000, 0.860) and Sc at (0.191, 0.207, 0.214).

***

Entry 4:
DFT (PBE-GGA) results for a geometry-optimized NdPu3Ge4 structure.

Its formation energy is -0.269 eV/atom. The calculation puts the raw total energy at -68.39 eV/f.u. The total magnetization comes out at 5.336 μB/f.u.

It has space group Immm (No. 71), with a = 3.005 Å, b = 7.889 Å, c = 16.083 Å, α = 90.00°, β = 90.00° and γ = 90.00°. The distinct sites, in fractional coordinates, are Nd at (0.000, 0.000, 0.000), Pu at (0.000, 0.000, 0.500), Pu at (0.000, 0.500, 0.275) and Ge at (0.000, 0.273, 0.128).

***

Entry 5:
DFT (PBE-GGA) results for a geometry-optimized Ce3PrTe4 structure.

The uncorrected formation energy comes out at -1.386 eV per atom. The calculation puts the raw total energy at -46.23 eV/f.u. The total magnetization comes out at 3.950 μB/f.u.

It has space group Pm-3m (No. 221), with a = 6.367 Å, b = 6.367 Å, c = 6.367 Å, α = 90.00°, β = 90.00° and γ = 90.00°. The distinct sites, in fractional coordinates, are Ce at (0.000, 0.000, 0.500), Pr at (0.500, 0.500, 0.500), Te at (0.000, 0.000, 0.000) and Te at (0.000, 0.500, 0.500).

***

Entry 6:
DFT (PBE-GGA) results for a geometry-optimized NaLi2H structure.

For the distance to the lowest polymorph of the same formula, the calculation gives 0.0 meV per atom. The calculation puts the raw total energy at -8.88 eV/f.u. The total magnetization comes out at 0.000 μB/f.u.

It has space group I4_1/amd (No. 141, origin choice 2), with a = 6.016 Å, b = 6.016 Å, c = 8.430 Å, α = 90.00°, β = 90.00° and γ = 90.00°. The distinct sites, in fractional coordinates, are Na at (0.000, 0.250, 0.375), Li at (0.000, 0.000, 0.000) and H at (0.000, 0.250, 0.875).